[1]
Th2Be3GaRh4 | Alexandria | PBE-GGA | relaxed; DFT formation energy = -698 meV per atom; symmetry = P-4m2
1.0
4.104 0.000 0.000
0.000 4.104 0.000
0.000 0.000 9.725
Th Be Ga Rh
2 3 1 4
Cartesian
2.052 0.000 2.275
0.000 2.052 7.450
0.000 0.000 4.862
2.052 0.000 8.666
0.000 2.052 1.058
2.052 2.052 4.862
2.052 2.052 0.000
0.000 0.000 0.000
2.052 0.000 6.281
0.000 2.052 3.444



[2]
Y2PbN2 | Alexandria | PBE-GGA | relaxed; formation energy without anion corrections = -841 meV per atom; symmetry = I4/mmm
1.0
-4.017 1.194 0.886
-1.487 -3.285 -2.312
-2.705 -4.335 3.931
Pb Y N
1 2 2
Cartesian
0.000 0.000 0.000
-2.735 -2.227 0.956
-5.474 -4.198 1.549
-4.737 -2.093 2.052
-3.472 -4.332 0.453